This record from Alexandria describes crystalline Ni2BRu2 at its relaxed geometry. The functional is GGA-PBEsol.

Properties
E_form = 1.1764 eV per atom
space group = I4/mmm (139)

a = 3.2856 Å, b = 3.2856 Å, c = 6.4985 Å
α = 104.64°, β = 104.64°, γ = 90.00°
Sites, in units of the cell vectors:
Ru 0.7500 0.2500 0.5000
B 0.0000 0.0000 0.0000
Ni 0.4091 0.4091 0.8182
Ru 0.2500 0.7500 0.5000
Ni 0.5909 0.5909 0.1818

=====

This record from Alexandria describes crystalline YSc2Si at its relaxed geometry. The functional is GGA-PBEsol.

Properties
formation energy (no corrections) = -0.13 eV per atom
space group = R3m (160)

a = 3.3671 Å, b = 3.3671 Å, c = 9.7037 Å
α = 80.01°, β = 80.01°, γ = 60.00°
Sites, in units of the cell vectors:
Sc 0.0033 0.0033 0.9901
Y 0.2373 0.2373 0.2881
Sc 0.7629 0.7629 0.7114
Si 0.4965 0.4965 0.5104

=====

This record from Alexandria describes crystalline MgFeGe2O6 at its relaxed geometry. The functional is GGA-PBEsol.

Properties
formation energy (no corrections) = -1.76 eV per atom
space group = C2/c (15)

a = 5.1091 Å, b = 6.5946 Å, c = 6.5946 Å
α = 84.51°, β = 83.37°, γ = 83.37°
Sites, in units of the cell vectors:
O 0.6009 0.2944 0.4320
O 0.8991 0.5680 0.7056
O 0.8843 0.8639 0.3647
Mg 0.2500 0.7266 0.2734
O 0.6157 0.6353 0.1361
O 0.8639 0.2172 0.0243
O 0.1009 0.4320 0.2944
Ge 0.2869 0.2029 0.4023
O 0.1157 0.1361 0.6353
O 0.3991 0.7056 0.5680
Fe 0.2500 0.0792 0.9208
O 0.1361 0.7828 0.9757
Mg 0.7500 0.2734 0.7266
O 0.6361 0.9757 0.7828
Ge 0.7131 0.7971 0.5977
O 0.3843 0.3647 0.8639
Fe 0.7500 0.9208 0.0792
Ge 0.7869 0.4023 0.2029
Ge 0.2131 0.5977 0.7971
O 0.3639 0.0243 0.2172

=====

This record from Alexandria describes crystalline Dy2CuRh at its relaxed geometry. The functional is GGA-PBEsol.

Properties
E_form = -0.5351 eV per atom
space group = Fm-3m (225)

a = 4.7898 Å, b = 4.7898 Å, c = 4.7898 Å
α = 60.00°, β = 60.00°, γ = 60.00°
Sites, in units of the cell vectors:
Rh 0.0000 0.0000 0.0000
Dy 0.2500 0.2500 0.2500
Cu 0.5000 0.5000 0.5000
Dy 0.7500 0.7500 0.7500

=====

This record from Alexandria describes crystalline BaMgAgSn2 at its relaxed geometry. The functional is GGA-PBEsol.

Properties
E_form = 0.1241 eV per atom
space group = P4/mmm (123)

a = 5.3217 Å, b = 5.3217 Å, c = 5.8427 Å
α = 90.00°, β = 90.00°, γ = 90.00°
Sites, in units of the cell vectors:
Sn 0.5000 0.0000 0.0000
Ag 0.0000 0.0000 0.0000
Ba 0.0000 0.0000 0.5000
Sn 0.0000 0.5000 0.0000
Mg 0.5000 0.5000 0.5000

=====

This record from Alexandria describes crystalline PdRhF2 at its relaxed geometry. The functional is GGA-PBEsol.

Properties
formation energy (no corrections) = -0.47 eV per atom
space group = R-3m (166)

a = 2.6974 Å, b = 2.6974 Å, c = 7.8659 Å
α = 80.13°, β = 80.13°, γ = 60.00°
Sites, in units of the cell vectors:
Rh 0.5000 0.5000 0.5000
Pd 0.0000 0.0000 0.0000
F 0.0858 0.0858 0.7426
F 0.9142 0.9142 0.2574

=====

This record from Alexandria describes crystalline TcIr3 at its relaxed geometry. The functional is GGA-PBEsol.

Properties
E_form = -0.1180 eV per atom
space group = P4/mmm (123)

a = 2.6973 Å, b = 2.6973 Å, c = 7.6927 Å
α = 90.00°, β = 90.00°, γ = 90.00°
Sites, in units of the cell vectors:
Tc 0.5000 0.5000 0.0000
Ir 0.0000 0.0000 0.7532
Ir 0.5000 0.5000 0.5000
Ir 0.0000 0.0000 0.2468

=====

This record from Alexandria describes crystalline ZnGa2Se4 at its relaxed geometry. The functional is GGA-PBEsol.

Properties
formation energy (no corrections) = -0.62 eV per atom
space group = I-4 (82)

a = 5.5008 Å, b = 5.5008 Å, c = 6.6779 Å
α = 114.32°, β = 114.32°, γ = 90.00°
Sites, in units of the cell vectors:
Zn 0.0000 0.0000 0.0000
Ga 0.5000 0.5000 0.0000
Ga 0.7500 0.2500 0.5000
Se 0.1347 0.6297 0.7306
Se 0.5960 0.1010 0.7306
Se 0.3703 0.4040 0.2694
Se 0.8990 0.8653 0.2694

=====

Number 1: total energy -33.794 eV/cell, magnetic moment 0.00 μB/f.u.. Number 2: total energy -26.297 eV/cell, magnetic moment 0.41 μB/f.u.. Number 3: total energy -139.252 eV/cell, magnetic moment 4.03 μB/f.u.. Number 4: total energy -24.570 eV/cell, magnetic moment 0.00 μB/f.u.. Number 5: total energy -15.076 eV/cell, magnetic moment 0.00 μB/f.u.. Number 6: total energy -19.816 eV/cell, magnetic moment 1.64 μB/f.u.. Number 7: total energy -41.208 eV/cell, magnetic moment 0.00 μB/f.u.. Number 8: total energy -28.006 eV/cell, magnetic moment 0.00 μB/f.u..